(1)
Compound: AlTl2Cd
Source: Alexandria via LeMat-Bulk
Functional: PBE-GGA
Structure: optimized geometry

Properties
Calculated total energy: -17.1 eV for the cell shown
Crystal system: tetragonal
ΔH_f (0 K): 0.21 eV per atom
Total moment: 0.00 Bohr magnetons per cell

Cell lengths 4.799, 4.799, 9.012 Å; angles 90.00, 90.00, 90.00 degrees
Positions (direct):
1 Al 0.000 0.000 0.000
2 Al 0.500 0.500 0.500
3 Tl 0.000 0.000 0.500
4 Tl 0.000 0.500 0.250
5 Tl 0.500 0.000 0.750
6 Tl 0.500 0.500 0.000
7 Cd 0.000 0.500 0.750
8 Cd 0.500 0.000 0.250



(2)
Compound: CeAgO
Source: Alexandria via LeMat-Bulk
Functional: PBE-GGA
Structure: optimized geometry

Properties
Calculated total energy: -74.6 eV for the cell shown
Crystal system: orthorhombic
Uncorrected formation energy: -37.64 kcal/mol of atoms
Total moment: 3.19 Bohr magnetons per cell

Cell lengths 4.106, 4.874, 14.281 Å; angles 90.00, 90.00, 90.00 degrees
Positions (direct):
1 Ce 0.000 0.250 0.142
2 Ce 0.000 0.750 0.858
3 Ce 0.500 0.250 0.358
4 Ce 0.500 0.750 0.642
5 Ag 0.000 0.250 0.548
6 Ag 0.000 0.750 0.452
7 Ag 0.500 0.250 0.952
8 Ag 0.500 0.750 0.048
9 O 0.000 0.250 0.304
10 O 0.000 0.750 0.696
11 O 0.500 0.250 0.196
12 O 0.500 0.750 0.804



(3)
Compound: Zr2InPt
Source: Alexandria via LeMat-Bulk
Functional: PBE-GGA
Structure: optimized geometry

Properties
Calculated total energy: -28.1 eV for the cell shown
Crystal system: monoclinic
ΔH_f (0 K): -0.55 eV per atom
Total moment: 0.00 Bohr magnetons per cell

Cell lengths 3.461, 4.392, 5.802 Å; angles 90.00, 107.28, 90.00 degrees
Positions (direct):
1 Zr 0.000 0.000 0.000
2 Zr 0.319 0.500 0.639
3 In 0.589 0.500 0.179
4 Pt 0.748 0.000 0.497